No. 1
VASP calculation (PBE) on a relaxed structure of Pm2Cu4AgGe3.

Computed properties:
* space group: No. 115

Cell and atoms, written as extended XYZ:
```
10
Lattice="4.2488 0.0000 0.0000 0.0000 4.2488 0.0000 0.0000 0.0000 10.0037" Properties=species:S:1:pos:R:3 pbc="T T T"
Pm 0.0000 2.1244 2.4012
Pm 2.1244 0.0000 7.6026
Cu 0.0000 0.0000 0.0000
Cu 0.0000 2.1244 6.3584
Cu 2.1244 0.0000 3.6453
Cu 2.1244 2.1244 0.0000
Ag 0.0000 0.0000 5.0019
Ge 0.0000 2.1244 8.7123
Ge 2.1244 0.0000 1.2915
Ge 2.1244 2.1244 5.0019
```

=====

No. 2
VASP calculation (PBE) on a relaxed structure of Sr2PtBr.

Computed properties:
* space group: No. 160
* uncorrected formation energy: -1226 meV per atom
* distance to the lowest polymorph of the same formula: 0.08 eV per formula unit

Cell and atoms, written as extended XYZ:
```
4
Lattice="2.1697 1.2527 8.0297 -2.1697 1.2527 8.0297 0.0000 -2.5054 8.0297" Properties=species:S:1:pos:R:3 pbc="T T T"
Sr 0.0000 0.0000 0.0000
Sr 0.0000 0.0000 4.6830
Pt 0.0000 0.0000 14.3878
Br 0.0000 0.0000 18.4471
```

=====

No. 3
VASP calculation (PBE) on a relaxed structure of InReSiOs2.

Computed properties:
* space group: No. 123
* uncorrected formation energy: 3093 meV per atom

Cell and atoms, written as extended XYZ:
```
5
Lattice="4.8226 0.0000 0.0000 0.0000 4.8226 0.0000 0.0000 0.0000 4.8769" Properties=species:S:1:pos:R:3 pbc="T T T"
In 0.0000 0.0000 0.0000
Re 0.0000 0.0000 2.4384
Si 2.4113 2.4113 2.4384
Os 0.0000 2.4113 0.0000
Os 2.4113 0.0000 0.0000
```

=====

No. 4
VASP calculation (PBE) on a relaxed structure of Sm5TlPb4.

Computed properties:
* space group: No. 79

Cell and atoms, written as extended XYZ:
```
10
Lattice="-5.0346 5.0346 3.2231 5.0346 -5.0346 3.2231 5.0346 5.0346 -3.2231" Properties=species:S:1:pos:R:3 pbc="T T T"
Sm 0.0000 0.0000 0.0000
Sm 4.0360 1.8968 0.8308
Sm 3.1378 -0.9986 4.0539
Sm 1.8968 6.0333 0.8308
Sm 0.9986 3.1378 4.0539
Tl 0.0000 0.0000 3.1133
Pb 2.9391 -1.0633 0.8434
Pb 7.1302 1.0633 0.8434
Pb 1.0633 2.9391 0.8434
Pb -1.0633 7.1302 0.8434
```

=====

No. 5
VASP calculation (PBE) on a relaxed structure of Th4MnGa12.

Computed properties:
* space group: No. 229

Cell and atoms, written as extended XYZ:
```
17
Lattice="-4.4284 4.4284 4.4284 4.4284 -4.4284 4.4284 4.4284 4.4284 -4.4284" Properties=species:S:1:pos:R:3 pbc="T T T"
Th 2.2142 2.2142 -2.2142
Th 2.2142 -2.2142 2.2142
Th -2.2142 2.2142 2.2142
Th 2.2142 2.2142 2.2142
Mn 0.0000 0.0000 0.0000
Ga 2.5980 0.0000 0.0000
Ga 6.2588 0.0000 0.0000
Ga 4.4284 2.2142 0.0000
Ga 4.4284 0.0000 2.2142
Ga 0.0000 2.5980 0.0000
Ga 0.0000 0.0000 2.5980
Ga 2.2142 4.4284 0.0000
Ga 2.2142 0.0000 4.4284
Ga 0.0000 6.2588 0.0000
Ga 0.0000 0.0000 6.2588
Ga 0.0000 4.4284 2.2142
Ga 0.0000 2.2142 4.4284
```

=====

No. 6
VASP calculation (PBE) on a relaxed structure of ZrSBr3.

Computed properties:
* space group: No. 221
* uncorrected formation energy: -353 meV per atom
* distance to the lowest polymorph of the same formula: 4.42 eV per formula unit

Cell and atoms, written as extended XYZ:
```
5
Lattice="5.3186 0.0000 0.0000 0.0000 5.3186 0.0000 0.0000 0.0000 5.3186" Properties=species:S:1:pos:R:3 pbc="T T T"
Zr 0.0000 0.0000 0.0000
S 2.6593 2.6593 2.6593
Br 0.0000 0.0000 2.6593
Br 0.0000 2.6593 0.0000
Br 2.6593 0.0000 0.0000
```

=====

No. 7
VASP calculation (PBE) on a relaxed structure of CsKTlZn2.

Computed properties:
* space group: No. 123

Cell and atoms, written as extended XYZ:
```
5
Lattice="5.6554 0.0000 0.0000 0.0000 5.6554 0.0000 0.0000 0.0000 6.9953" Properties=species:S:1:pos:R:3 pbc="T T T"
Cs 0.0000 0.0000 0.0000
K 2.8277 2.8277 0.0000
Tl 0.0000 0.0000 3.4977
Zn 0.0000 2.8277 3.4977
Zn 2.8277 0.0000 3.4977
```

=====

No. 8
VASP calculation (PBE) on a relaxed structure of Na3ErPb6.

Computed properties:
* space group: No. 11

Cell and atoms, written as extended XYZ:
```
20
Lattice="10.8815 0.0000 0.0000 0.0000 4.8861 0.0000 -0.0676 0.0000 10.9044" Properties=species:S:1:pos:R:3 pbc="T T T"
Na 0.0159 1.2215 2.7166
Na 2.2083 3.6645 3.7762
Na 4.3376 1.2215 4.8690
Na 6.4763 3.6645 6.0354
Na 8.6057 1.2215 7.1282
Na 10.7981 3.6645 8.1878
Er 4.1419 3.6645 10.2619
Er 6.6721 1.2215 0.6425
Pb 1.0319 1.2215 5.8874
Pb 1.1315 3.6645 0.5038
Pb 2.0006 1.2215 9.1208
Pb 3.2352 3.6645 7.0515
Pb 3.3546 1.2215 1.5538
Pb 5.3639 1.2215 8.2706
Pb 5.4501 3.6645 2.6338
Pb 7.4594 3.6645 9.3507
Pb 7.5787 1.2215 3.8529
Pb 8.8134 3.6645 1.7836
Pb 9.6825 1.2215 10.4007
Pb 9.7820 3.6645 5.0171
```

=====

no.,final energy (eV/atom),total magnetization (μB per atom),Fermi-level density of states (states/eV per cell)
1,-4.680,0.000,5.89
2,-3.995,0.000,1.69
3,-5.521,0.627,6.05
4,-4.427,0.000,8.82
5,-4.914,0.135,9.48
6,-3.891,0.298,7.28
7,-1.071,0.000,2.53
8,-3.261,0.000,10.48